Entry 1:
# LaDy2Cd | Alexandria | PBE | relaxed
# energy of formation	0.1	eV per formula unit
# calculated volume	467.5	Å³ per cell
# polymorph energy (0 for the lowest one)	181	meV per atom
data_LaDy2Cd
_chemical_formula_sum 'La4 Dy8 Cd4'
_symmetry_space_group_name_H-M 'P 1'
_symmetry_Int_Tables_number 1
_symmetry_space_group_name_Hall 'P 1'
_cell_length_a 7.761
_cell_length_b 7.761
_cell_length_c 7.761
_cell_angle_alpha 90.00
_cell_angle_beta 90.00
_cell_angle_gamma 90.00
loop_
_atom_site_label
_atom_site_type_symbol
_atom_site_fract_x
_atom_site_fract_y
_atom_site_fract_z
La1 La 0.000 0.000 0.000
La2 La 0.000 0.500 0.500
La3 La 0.500 0.000 0.500
La4 La 0.500 0.500 0.000
Dy1 Dy 0.250 0.250 0.250
Dy2 Dy 0.250 0.250 0.750
Dy3 Dy 0.250 0.750 0.250
Dy4 Dy 0.250 0.750 0.750
Dy5 Dy 0.750 0.250 0.250
Dy6 Dy 0.750 0.250 0.750
Dy7 Dy 0.750 0.750 0.250
Dy8 Dy 0.750 0.750 0.750
Cd1 Cd 0.000 0.000 0.500
Cd2 Cd 0.000 0.500 0.000
Cd3 Cd 0.500 0.000 0.000
Cd4 Cd 0.500 0.500 0.500

---

Entry 2:
# LaDyCd4 | Alexandria | PBE | relaxed
# energy of formation	-2.0	eV per formula unit
# calculated volume	154.4	Å³ per cell
# polymorph energy (0 for the lowest one)	0	meV per atom
data_LaDyCd4
_chemical_formula_sum 'La1 Dy1 Cd4'
_symmetry_space_group_name_H-M 'P 1'
_symmetry_Int_Tables_number 1
_symmetry_space_group_name_Hall 'P 1'
_cell_length_a 3.474
_cell_length_b 5.061
_cell_length_c 8.779
_cell_angle_alpha 90.00
_cell_angle_beta 90.00
_cell_angle_gamma 90.00
loop_
_atom_site_label
_atom_site_type_symbol
_atom_site_fract_x
_atom_site_fract_y
_atom_site_fract_z
La1 La 0.000 0.000 0.000
Dy1 Dy 0.000 0.500 0.500
Cd1 Cd 0.500 0.000 0.339
Cd2 Cd 0.500 0.000 0.661
Cd3 Cd 0.500 0.500 0.174
Cd4 Cd 0.500 0.500 0.826

---

Entry 3:
# LaDy6Cd | Alexandria | PBE | relaxed
# energy of formation	0.3	eV per formula unit
# calculated volume	504.1	Å³ per cell
data_LaDy6Cd
_chemical_formula_sum 'La2 Dy12 Cd2'
_symmetry_space_group_name_H-M 'P 1'
_symmetry_Int_Tables_number 1
_symmetry_space_group_name_Hall 'P 1'
_cell_length_a 8.614
_cell_length_b 9.309
_cell_length_c 6.376
_cell_angle_alpha 90.00
_cell_angle_beta 99.60
_cell_angle_gamma 90.00
loop_
_atom_site_label
_atom_site_type_symbol
_atom_site_fract_x
_atom_site_fract_y
_atom_site_fract_z
La1 La 0.000 0.000 0.000
La2 La 0.500 0.500 0.000
Dy1 Dy 0.156 0.500 0.199
Dy2 Dy 0.162 0.313 0.713
Dy3 Dy 0.162 0.687 0.713
Dy4 Dy 0.338 0.187 0.287
Dy5 Dy 0.338 0.813 0.287
Dy6 Dy 0.344 0.000 0.801
Dy7 Dy 0.656 0.000 0.199
Dy8 Dy 0.662 0.187 0.713
Dy9 Dy 0.662 0.813 0.713
Dy10 Dy 0.838 0.313 0.287
Dy11 Dy 0.838 0.687 0.287
Dy12 Dy 0.844 0.500 0.801
Cd1 Cd 0.000 0.000 0.500
Cd2 Cd 0.500 0.500 0.500

---

Entry 4:
# La4DyCd5 | Alexandria | PBE | relaxed
# energy of formation	-3.2	eV per formula unit
# calculated volume	295.8	Å³ per cell
data_La4DyCd5
_chemical_formula_sum 'La4 Dy1 Cd5'
_symmetry_space_group_name_H-M 'P 1'
_symmetry_Int_Tables_number 1
_symmetry_space_group_name_Hall 'P 1'
_cell_length_a 3.878
_cell_length_b 3.878
_cell_length_c 19.676
_cell_angle_alpha 90.00
_cell_angle_beta 90.00
_cell_angle_gamma 90.00
loop_
_atom_site_label
_atom_site_type_symbol
_atom_site_fract_x
_atom_site_fract_y
_atom_site_fract_z
La1 La 0.000 0.000 0.102
La2 La 0.000 0.000 0.307
La3 La 0.000 0.000 0.693
La4 La 0.000 0.000 0.898
Dy1 Dy 0.000 0.000 0.500
Cd1 Cd 0.500 0.500 0.000
Cd2 Cd 0.500 0.500 0.204
Cd3 Cd 0.500 0.500 0.412
Cd4 Cd 0.500 0.500 0.588
Cd5 Cd 0.500 0.500 0.796

---

Entry 5:
# LaDy4Cd | Alexandria | PBE | relaxed
# energy of formation	0.9	eV per formula unit
# calculated volume	386.8	Å³ per cell
# polymorph energy (0 for the lowest one)	229	meV per atom
data_LaDy4Cd
_chemical_formula_sum 'La2 Dy8 Cd2'
_symmetry_space_group_name_H-M 'P 1'
_symmetry_Int_Tables_number 1
_symmetry_space_group_name_Hall 'P 1'
_cell_length_a 8.066
_cell_length_b 8.066
_cell_length_c 9.233
_cell_angle_alpha 90.00
_cell_angle_beta 90.00
_cell_angle_gamma 139.91
loop_
_atom_site_label
_atom_site_type_symbol
_atom_site_fract_x
_atom_site_fract_y
_atom_site_fract_z
La1 La 0.127 0.873 0.500
La2 La 0.873 0.127 0.000
Dy1 Dy 0.095 0.905 0.135
Dy2 Dy 0.258 0.742 0.840
Dy3 Dy 0.333 0.667 0.185
Dy4 Dy 0.479 0.521 0.871
Dy5 Dy 0.521 0.479 0.371
Dy6 Dy 0.667 0.333 0.685
Dy7 Dy 0.742 0.258 0.340
Dy8 Dy 0.905 0.095 0.635
Cd1 Cd 0.336 0.664 0.531
Cd2 Cd 0.664 0.336 0.031

---

Entry 6:
# La12Dy6Cd | Alexandria | PBE | relaxed
# energy of formation	2.0	eV per formula unit
# calculated volume	667.5	Å³ per cell
data_La12Dy6Cd
_chemical_formula_sum 'La12 Dy6 Cd1'
_symmetry_space_group_name_H-M 'P 1'
_symmetry_Int_Tables_number 1
_symmetry_space_group_name_Hall 'P 1'
_cell_length_a 8.863
_cell_length_b 8.863
_cell_length_c 8.863
_cell_angle_alpha 98.99
_cell_angle_beta 98.99
_cell_angle_gamma 98.99
loop_
_atom_site_label
_atom_site_type_symbol
_atom_site_fract_x
_atom_site_fract_y
_atom_site_fract_z
La1 La 0.001 0.260 0.740
La2 La 0.168 0.581 0.581
La3 La 0.260 0.740 0.001
La4 La 0.260 0.999 0.740
La5 La 0.419 0.419 0.832
La6 La 0.419 0.832 0.419
La7 La 0.581 0.168 0.581
La8 La 0.581 0.581 0.168
La9 La 0.740 0.001 0.260
La10 La 0.740 0.260 0.999
La11 La 0.832 0.419 0.419
La12 La 0.999 0.740 0.260
Dy1 Dy 0.140 0.405 0.141
Dy2 Dy 0.141 0.140 0.405
Dy3 Dy 0.405 0.141 0.140
Dy4 Dy 0.595 0.859 0.860
Dy5 Dy 0.859 0.860 0.595
Dy6 Dy 0.860 0.595 0.859
Cd1 Cd 0.000 0.000 0.000

---

Entry 7:
# LaDyCd4 | Alexandria | PBE | relaxed
# energy of formation	-1.8	eV per formula unit
# calculated volume	152.2	Å³ per cell
# polymorph energy (0 for the lowest one)	47	meV per atom
data_LaDyCd4
_chemical_formula_sum 'La1 Dy1 Cd4'
_symmetry_space_group_name_H-M 'P 1'
_symmetry_Int_Tables_number 1
_symmetry_space_group_name_Hall 'P 1'
_cell_length_a 5.993
_cell_length_b 5.993
_cell_length_c 5.993
_cell_angle_alpha 60.00
_cell_angle_beta 60.00
_cell_angle_gamma 60.00
loop_
_atom_site_label
_atom_site_type_symbol
_atom_site_fract_x
_atom_site_fract_y
_atom_site_fract_z
La1 La 0.000 0.000 0.000
Dy1 Dy 0.750 0.750 0.750
Cd1 Cd 0.375 0.375 0.375
Cd2 Cd 0.375 0.375 0.874
Cd3 Cd 0.375 0.874 0.375
Cd4 Cd 0.874 0.375 0.375

---

Entry 8:
# LaDy2Cd | Alexandria | PBE | relaxed
# energy of formation	-0.6	eV per formula unit
# calculated volume	121.3	Å³ per cell
# polymorph energy (0 for the lowest one)	8	meV per atom
data_LaDy2Cd
_chemical_formula_sum 'La1 Dy2 Cd1'
_symmetry_space_group_name_H-M 'P 1'
_symmetry_Int_Tables_number 1
_symmetry_space_group_name_Hall 'P 1'
_cell_length_a 3.654
_cell_length_b 3.654
_cell_length_c 9.088
_cell_angle_alpha 90.00
_cell_angle_beta 90.00
_cell_angle_gamma 90.00
loop_
_atom_site_label
_atom_site_type_symbol
_atom_site_fract_x
_atom_site_fract_y
_atom_site_fract_z
La1 La 0.000 0.000 0.000
Dy1 Dy 0.500 0.500 0.283
Dy2 Dy 0.500 0.500 0.717
Cd1 Cd 0.000 0.000 0.500

---

Entry 9:
# LaDy4Cd | Alexandria | PBE | relaxed
# energy of formation	-0.5	eV per formula unit
# calculated volume	184.4	Å³ per cell
# polymorph energy (0 for the lowest one)	0	meV per atom
data_LaDy4Cd
_chemical_formula_sum 'La1 Dy4 Cd1'
_symmetry_space_group_name_H-M 'P 1'
_symmetry_Int_Tables_number 1
_symmetry_space_group_name_Hall 'P 1'
_cell_length_a 3.621
_cell_length_b 3.621
_cell_length_c 14.063
_cell_angle_alpha 90.00
_cell_angle_beta 90.00
_cell_angle_gamma 90.00
loop_
_atom_site_label
_atom_site_type_symbol
_atom_site_fract_x
_atom_site_fract_y
_atom_site_fract_z
La1 La 0.000 0.000 0.000
Dy1 Dy 0.000 0.000 0.356
Dy2 Dy 0.000 0.000 0.644
Dy3 Dy 0.500 0.500 0.183
Dy4 Dy 0.500 0.500 0.817
Cd1 Cd 0.500 0.500 0.500

---

Entry 10:
# La2DyCd4 | Alexandria | PBE | relaxed
# energy of formation	-1.0	eV per formula unit
# calculated volume	220.4	Å³ per cell
data_La2DyCd4
_chemical_formula_sum 'La2 Dy1 Cd4'
_symmetry_space_group_name_H-M 'P 1'
_symmetry_Int_Tables_number 1
_symmetry_space_group_name_Hall 'P 1'
_cell_length_a 9.352
_cell_length_b 9.352
_cell_length_c 9.352
_cell_angle_alpha 33.37
_cell_angle_beta 33.37
_cell_angle_gamma 33.37
loop_
_atom_site_label
_atom_site_type_symbol
_atom_site_fract_x
_atom_site_fract_y
_atom_site_fract_z
La1 La 0.249 0.249 0.249
La2 La 0.751 0.751 0.751
Dy1 Dy 0.000 0.000 0.000
Cd1 Cd 0.125 0.125 0.125
Cd2 Cd 0.375 0.375 0.375
Cd3 Cd 0.625 0.625 0.625
Cd4 Cd 0.875 0.875 0.875

---

Entry 11:
# La4Dy5Cd | Alexandria | PBE | relaxed
# energy of formation	-0.4	eV per formula unit
# calculated volume	326.3	Å³ per cell
data_La4Dy5Cd
_chemical_formula_sum 'La4 Dy5 Cd1'
_symmetry_space_group_name_H-M 'P 1'
_symmetry_Int_Tables_number 1
_symmetry_space_group_name_Hall 'P 1'
_cell_length_a 3.674
_cell_length_b 3.674
_cell_length_c 24.177
_cell_angle_alpha 90.00
_cell_angle_beta 90.00
_cell_angle_gamma 90.00
loop_
_atom_site_label
_atom_site_type_symbol
_atom_site_fract_x
_atom_site_fract_y
_atom_site_fract_z
La1 La 0.000 0.000 0.105
La2 La 0.000 0.000 0.315
La3 La 0.000 0.000 0.685
La4 La 0.000 0.000 0.895
Dy1 Dy 0.500 0.500 0.000
Dy2 Dy 0.500 0.500 0.210
Dy3 Dy 0.500 0.500 0.419
Dy4 Dy 0.500 0.500 0.581
Dy5 Dy 0.500 0.500 0.790
Cd1 Cd 0.000 0.000 0.500